# 1
The following is a PBE calculation of CaTl3Hg after structural relaxation, from the Alexandria database.

## Properties
**D(E_F)**: 3.61 states/eV per cell
**ΔH_f (0 K)**: 0.19 eV per atom
**Energy relative to the lowest polymorph listed for this composition**: 389 meV per atom
**V**: 37.86 Å³/atom
**Spin magnetization**: 0.0 μB/f.u.

abc: 5.7416 5.7416 5.7416
angles: 90.00 90.00 90.00
With the nearest neighbours (Å) after each atom.
Space group Pm-3m (No. 221)
Inequivalent atoms, fractional coordinates:
Ca: 0.0000 0.0000 0.0000  12 Tl 4.06
Tl: 0.0000 0.5000 0.5000  2 Hg 2.87
Hg: 0.5000 0.5000 0.5000  6 Tl 2.87

# 2
The following is a PBE calculation of Sr2Li4P after structural relaxation, from the Alexandria database.

## Properties
**D(E_F)**: 7.68 states/eV per cell
**ΔH_f (0 K)**: -0.22 eV per atom
**V**: 32.17 Å³/atom
**Spin magnetization**: 0.0 μB/f.u.

abc: 4.7417 4.7417 20.0300
angles: 90.00 90.00 90.00
With the nearest neighbours (Å) after each atom.
Space group I4/mmm (No. 139)
Inequivalent atoms, fractional coordinates:
Sr: 0.0000 0.0000 0.1867  5 Li 3.62-3.91
Li: 0.0000 0.0000 0.3820  1 P 2.36
Li: 0.0000 0.5000 0.0000  2 P 2.37
P: 0.0000 0.0000 0.5000  6 Li 2.36-2.37